(1)
# Rb2SnGeF6

Rb2SnGeF6 after structural relaxation (PBE, Alexandria).

* ΔE_f (raw): -2.4010 eV per atom
* total magnetic moment: 0.00 μB per formula unit

Structure (CIF):
```
data_Rb2SnGeF6
_cell_length_a 9.229
_cell_length_b 9.229
_cell_length_c 9.229
_cell_angle_alpha 90.00
_cell_angle_beta 90.00
_cell_angle_gamma 90.00
_space_group_name_H-M_alt 'F m -3 m'
_space_group_IT_number 225
_space_group_name_Hall '-F 4 2 3'
loop_
_atom_site_label
_atom_site_type_symbol
_atom_site_fract_x
_atom_site_fract_y
_atom_site_fract_z
_atom_site_occupancy
Rb1 Rb 0.250 0.250 0.250 1
Sn1 Sn 0.000 0.000 0.000 1
Ge1 Ge 0.000 0.000 0.500 1
F1 F 0.000 0.000 0.257 1
```



(2)
# RbSr2GeF

RbSr2GeF after structural relaxation (PBE, Alexandria).

* ΔE_f (raw): -0.4080 eV per atom
* total magnetic moment: 0.00 μB per formula unit

Structure (CIF):
```
data_RbSr2GeF
_cell_length_a 6.373
_cell_length_b 6.373
_cell_length_c 5.152
_cell_angle_alpha 90.00
_cell_angle_beta 90.00
_cell_angle_gamma 90.00
_space_group_name_H-M_alt 'P 4/m m m'
_space_group_IT_number 123
_space_group_name_Hall '-P 4 2'
loop_
_atom_site_label
_atom_site_type_symbol
_atom_site_fract_x
_atom_site_fract_y
_atom_site_fract_z
_atom_site_occupancy
Rb1 Rb 0.000 0.000 0.000 1
Sr1 Sr 0.000 0.500 0.500 1
Ge1 Ge 0.500 0.500 0.500 1
F1 F 0.500 0.500 0.000 1
```